1.
{
  "formula": "BSCl2F",
  "functional": "meta-GGA SCAN",
  "state": "PBEsol geometry",
  "cell": [[5.312, 0.000, 0.000], [0.000, 5.312, 0.000], [0.000, 0.000, 3.518]],
  "species": ["B", "S", "Cl", "Cl", "F"],
  "fractional_positions": [[0.000, 0.000, 0.000], [0.500, 0.500, 0.000], [0.000, 0.500, 0.500], [0.500, 0.000, 0.500], [0.500, 0.500, 0.500]],
  "n_ef_per_ev_cell": 3.0,
  "e_above_lowest_polymorph_mev_per_atom": 566,
  "raw_formation_energy_ev_per_atom": 1.066
}

=====

2.
{
  "formula": "BSCl2F",
  "functional": "meta-GGA SCAN",
  "state": "PBEsol geometry",
  "cell": [[4.248, 0.000, 0.000], [0.000, 4.248, 0.000], [0.000, 0.000, 3.987]],
  "species": ["B", "S", "Cl", "Cl", "F"],
  "fractional_positions": [[0.000, 0.000, 0.000], [0.000, 0.000, 0.500], [0.000, 0.500, 0.000], [0.500, 0.000, 0.000], [0.500, 0.500, 0.500]],
  "n_ef_per_ev_cell": 3.6,
  "e_above_lowest_polymorph_mev_per_atom": 0,
  "raw_formation_energy_ev_per_atom": 0.500
}

=====

3.
{
  "formula": "Fe3B7ClO13",
  "functional": "meta-GGA SCAN",
  "state": "PBEsol geometry",
  "cell": [[4.285, 2.474, 6.989], [-4.285, 2.474, 6.989], [0.000, -4.948, 6.989]],
  "species": ["Fe", "Fe", "Fe", "Fe", "Fe", "Fe", "B", "B", "B", "B", "B", "B", "B", "B", "B", "B", "B", "B", "B", "B", "Cl", "Cl", "O", "O", "O", "O", "O", "O", "O", "O", "O", "O", "O", "O", "O", "O", "O", "O", "O", "O", "O", "O", "O", "O", "O", "O", "O", "O"],
  "fractional_positions": [[0.116, 0.695, 0.689], [0.189, 0.195, 0.616], [0.195, 0.616, 0.189], [0.616, 0.189, 0.195], [0.689, 0.116, 0.695], [0.695, 0.689, 0.116], [0.055, 0.055, 0.055], [0.085, 0.085, 0.390], [0.085, 0.390, 0.085], [0.390, 0.085, 0.085], [0.402, 0.911, 0.910], [0.410, 0.411, 0.902], [0.411, 0.902, 0.410], [0.555, 0.555, 0.555], [0.585, 0.585, 0.890], [0.585, 0.890, 0.585], [0.890, 0.585, 0.585], [0.902, 0.410, 0.411], [0.910, 0.402, 0.911], [0.911, 0.910, 0.402], [0.389, 0.389, 0.389], [0.889, 0.889, 0.889], [0.047, 0.468, 0.224], [0.052, 0.212, 0.891], [0.061, 0.908, 0.440], [0.170, 0.170, 0.170], [0.212, 0.891, 0.052], [0.221, 0.457, 0.904], [0.224, 0.047, 0.468], [0.391, 0.712, 0.552], [0.404, 0.957, 0.721], [0.408, 0.561, 0.940], [0.440, 0.061, 0.908], [0.457, 0.904, 0.221], [0.468, 0.224, 0.047], [0.547, 0.724, 0.968], [0.552, 0.391, 0.712], [0.561, 0.940, 0.408], [0.670, 0.670, 0.670], [0.712, 0.552, 0.391], [0.721, 0.404, 0.957], [0.724, 0.968, 0.547], [0.891, 0.052, 0.212], [0.904, 0.221, 0.457], [0.908, 0.440, 0.061], [0.940, 0.408, 0.561], [0.957, 0.721, 0.404], [0.968, 0.547, 0.724]],
  "raw_formation_energy_ev_per_atom": -2.293
}